# ReRu2Se PBE relaxed
data_ReRu2Se
_chemical_formula_sum 'Re2 Ru4 Se2'
_cell_length_a 2.822
_cell_length_b 4.726
_cell_length_c 9.367
_cell_angle_alpha 90.00
_cell_angle_beta 90.00
_cell_angle_gamma 90.00
_space_group_name_H-M_alt 'P 1'
_space_group_IT_number 1
_space_group_name_Hall 'P 1'
loop_
_atom_site_label
_atom_site_fract_x
_atom_site_fract_y
_atom_site_fract_z
Re1 0.000 0.000 0.000
Re2 0.500 0.500 0.000
Ru1 0.000 0.000 0.524
Ru2 0.000 0.500 0.770
Ru3 0.500 0.000 0.770
Ru4 0.500 0.500 0.524
Se1 0.000 0.500 0.290
Se2 0.500 0.000 0.290
# * space-group type: Cmm2 (35)
# * formation energy from raw total energies: 2.743 eV per formula unit